No. 1
The following is a PBE+U calculation of a geometry-optimized MnH2F6 structure, from the Alexandria database.

a b c (Å): 6.7103 6.7103 4.8138
angles (deg): 95.83 95.83 82.33
Sites, in units of the cell vectors:
Mn: 0.0991 0.9009 0.7500
Mn: 0.9009 0.0991 0.2500
H: 0.3498 0.3814 0.1772
H: 0.3814 0.3498 0.6772
H: 0.6186 0.6502 0.3228
H: 0.6502 0.6186 0.8228
F: 0.0314 0.1694 0.6028
F: 0.1207 0.6604 0.8649
F: 0.1694 0.0314 0.1028
F: 0.3055 0.4212 0.3623
F: 0.3396 0.8793 0.6351
F: 0.4212 0.3055 0.8623
F: 0.5788 0.6945 0.1377
F: 0.6604 0.1207 0.3649
F: 0.6945 0.5788 0.6377
F: 0.8306 0.9686 0.8972
F: 0.8793 0.3396 0.1351
F: 0.9686 0.8306 0.3972

Computed properties:
As for the total energy: -4.640 eV/atom. As for the space-group type: C2/c (15).

---

No. 2
The following is a PBE+U calculation of a geometry-optimized MnHF4 structure, from the Alexandria database.

a b c (Å): 6.4980 6.4980 5.5428
angles (deg): 98.78 98.78 134.43
Sites, in units of the cell vectors:
Mn: 0.0636 0.9364 0.7500
Mn: 0.9364 0.0636 0.2500
H: 0.3284 0.6716 0.2500
H: 0.6716 0.3284 0.7500
F: 0.0873 0.4419 0.2340
F: 0.1691 0.2634 0.6744
F: 0.2634 0.1691 0.1744
F: 0.4419 0.0873 0.7340
F: 0.5581 0.9127 0.2660
F: 0.7366 0.8309 0.8256
F: 0.8309 0.7366 0.3256
F: 0.9127 0.5581 0.7660

Computed properties:
Its energy relative to the lowest polymorph listed for this composition is 0.000 eV/atom. As for the total energy: -5.157 eV/atom. As for the space-group type: C2/c (15).

---

No. 3
The following is a PBE+U calculation of a geometry-optimized Mn2HF structure, from the Alexandria database.

a b c (Å): 4.2222 4.2222 4.2222
angles (deg): 60.00 60.00 60.00
Sites, in units of the cell vectors:
Mn: 0.2500 0.2500 0.2500
Mn: 0.7500 0.7500 0.7500
H: 0.0000 0.0000 0.0000
F: 0.5000 0.5000 0.5000

Computed properties:
Its energy relative to the lowest polymorph listed for this composition is 0.434 eV/atom. As for the total energy: -5.032 eV/atom. As for the space-group type: Fm-3m (225).

---

No. 4
The following is a PBE+U calculation of a geometry-optimized MnHNF2 structure, from the Alexandria database.

a b c (Å): 4.1691 4.1691 3.8422
angles (deg): 90.00 90.00 90.00
Sites, in units of the cell vectors:
Mn: 0.0000 0.0000 0.0000
H: 0.5000 0.5000 0.0000
N: 0.0000 0.0000 0.5000
F: 0.0000 0.5000 0.5000
F: 0.5000 0.0000 0.5000

Computed properties:
Its energy relative to the lowest polymorph listed for this composition is 0.666 eV/atom. As for the total energy: -4.226 eV/atom. As for the space-group type: P4/mmm (123).

---

No. 5
The following is a PBE+U calculation of a geometry-optimized MnHNF2 structure, from the Alexandria database.

a b c (Å): 3.9794 3.9794 3.9351
angles (deg): 90.00 90.00 90.00
Sites, in units of the cell vectors:
Mn: 0.0000 0.0000 0.0000
H: 0.5000 0.5000 0.5000
N: 0.0000 0.0000 0.5000
F: 0.0000 0.5000 0.0000
F: 0.5000 0.0000 0.0000

Computed properties:
Its energy relative to the lowest polymorph listed for this composition is 0.000 eV/atom. As for the total energy: -4.892 eV/atom. As for the space-group type: P4/mmm (123).

---

No. 6
The following is a PBE+U calculation of a geometry-optimized MnHN2F structure, from the Alexandria database.

a b c (Å): 3.0352 3.0352 4.5701
angles (deg): 90.00 90.00 90.00
Sites, in units of the cell vectors:
Mn: 0.0000 0.0000 0.0000
H: 0.5000 0.5000 0.5000
N: 0.0000 0.5000 0.5000
N: 0.5000 0.0000 0.5000
F: 0.5000 0.5000 0.0000

Computed properties:
Its energy relative to the lowest polymorph listed for this composition is 0.000 eV/atom. As for the total energy: -5.153 eV/atom. As for the space-group type: P4/mmm (123).

---

No. 7
The following is a PBE+U calculation of a geometry-optimized MnH2NF structure, from the Alexandria database.

a b c (Å): 2.8981 2.8981 5.3215
angles (deg): 90.00 90.00 90.00
Sites, in units of the cell vectors:
Mn: 0.0000 0.0000 0.0000
H: 0.0000 0.5000 0.5000
H: 0.5000 0.0000 0.5000
N: 0.5000 0.5000 0.5000
F: 0.5000 0.5000 0.0000

Computed properties:
As for the total energy: -4.864 eV/atom. As for the space-group type: P4/mmm (123).

---

No. 8
The following is a PBE+U calculation of a geometry-optimized MnH8N2F6 structure, from the Alexandria database.

a b c (Å): 5.9753 5.9753 9.5283
angles (deg): 90.00 90.00 120.00
Sites, in units of the cell vectors:
Mn: 0.3333 0.6667 0.0000
Mn: 0.6667 0.3333 0.5000
H: 0.0000 0.0000 0.4579
H: 0.0000 0.0000 0.9579
H: 0.0940 0.1879 0.3141
H: 0.0940 0.9060 0.3141
H: 0.1461 0.5730 0.6614
H: 0.1879 0.0940 0.8141
H: 0.3333 0.6667 0.5171
H: 0.4270 0.5730 0.6614
H: 0.4270 0.8539 0.6614
H: 0.5730 0.1461 0.1614
H: 0.5730 0.4270 0.1614
H: 0.6667 0.3333 0.0171
H: 0.8121 0.9060 0.3141
H: 0.8539 0.4270 0.1614
H: 0.9060 0.0940 0.8141
H: 0.9060 0.8121 0.8141
N: 0.0000 0.0000 0.3499
N: 0.0000 0.0000 0.8499
N: 0.3333 0.6667 0.6250
N: 0.6667 0.3333 0.1250
F: 0.0414 0.5207 0.8880
F: 0.1862 0.3724 0.1115
F: 0.1862 0.8138 0.1115
F: 0.3724 0.1862 0.6115
F: 0.4793 0.5207 0.8880
F: 0.4793 0.9586 0.8880
F: 0.5207 0.0414 0.3880
F: 0.5207 0.4793 0.3880
F: 0.6276 0.8138 0.1115
F: 0.8138 0.1862 0.6115
F: 0.8138 0.6276 0.6115
F: 0.9586 0.4793 0.3880

Computed properties:
As for the total energy: -5.005 eV/atom. As for the space-group type: P6_3mc (186).

---

No. 9
The following is a PBE+U calculation of a geometry-optimized MnHN2F structure, from the Alexandria database.

a b c (Å): 3.8893 3.8893 4.0465
angles (deg): 90.00 90.00 90.00
Sites, in units of the cell vectors:
Mn: 0.0000 0.0000 0.0000
H: 0.5000 0.5000 0.5000
N: 0.0000 0.5000 0.0000
N: 0.5000 0.0000 0.0000
F: 0.0000 0.0000 0.5000

Computed properties:
Its energy relative to the lowest polymorph listed for this composition is 0.173 eV/atom. As for the total energy: -4.980 eV/atom. As for the space-group type: P4/mmm (123).

---

No. 10
The following is a PBE+U calculation of a geometry-optimized MnHNF2 structure, from the Alexandria database.

a b c (Å): 4.0799 4.0799 2.7694
angles (deg): 90.00 90.00 90.00
Sites, in units of the cell vectors:
Mn: 0.0000 0.0000 0.0000
H: 0.5000 0.5000 0.5000
N: 0.5000 0.5000 0.0000
F: 0.0000 0.5000 0.5000
F: 0.5000 0.0000 0.5000

Computed properties:
Its energy relative to the lowest polymorph listed for this composition is 0.068 eV/atom. As for the total energy: -4.824 eV/atom. As for the space-group type: P4/mmm (123).

---

No. 11
The following is a PBE+U calculation of a geometry-optimized NaMnHF2 structure, from the Alexandria database.

a b c (Å): 4.2839 4.2839 3.7029
angles (deg): 90.00 90.00 90.00
Sites, in units of the cell vectors:
Na: 0.0000 0.0000 0.0000
Mn: 0.5000 0.5000 0.5000
H: 0.5000 0.5000 0.0000
F: 0.0000 0.5000 0.5000
F: 0.5000 0.0000 0.5000

Computed properties:
As for the total energy: -4.935 eV/atom. As for the space-group type: P4/mmm (123).

---

No. 12
The following is a PBE+U calculation of a geometry-optimized MnHOF structure, from the Alexandria database.

a b c (Å): 3.3502 3.3502 5.2566
angles (deg): 110.08 110.08 60.16
Sites, in units of the cell vectors:
Mn: 0.0000 0.0000 0.0000
H: 0.4711 0.4711 0.3971
O: 0.4029 0.4029 0.1926
F: 0.5803 0.5803 0.7564

Computed properties:
As for the total energy: -6.261 eV/atom. As for the space-group type: Cm (8).

---

No. 13
The following is a PBE+U calculation of a geometry-optimized Mn3H24O12F8 structure, from the Alexandria database.

a b c (Å): 6.2681 9.0821 9.2925
angles (deg): 110.82 103.05 107.07
Sites, in units of the cell vectors:
Mn: 0.0000 0.0000 0.0000
Mn: 0.1496 0.6974 0.3814
Mn: 0.8504 0.3026 0.6186
H: 0.0306 0.0085 0.3090
H: 0.1068 0.3182 0.9849
H: 0.1212 0.8796 0.7060
H: 0.1946 0.3640 0.1760
H: 0.2145 0.4372 0.5168
H: 0.2728 0.5911 0.9515
H: 0.3153 0.3431 0.6154
H: 0.3680 0.8854 0.0655
H: 0.3717 0.1060 0.5787
H: 0.4576 0.3032 0.0242
H: 0.4596 0.0757 0.2128
H: 0.4876 0.7509 0.2288
H: 0.5124 0.2491 0.7712
H: 0.5404 0.9243 0.7872
H: 0.5424 0.6968 0.9758
H: 0.6283 0.8940 0.4213
H: 0.6320 0.1146 0.9345
H: 0.6847 0.6569 0.3846
H: 0.7272 0.4089 0.0485
H: 0.7855 0.5628 0.4832
H: 0.8054 0.6360 0.8240
H: 0.8788 0.1204 0.2940
H: 0.8932 0.6818 0.0151
H: 0.9694 0.9915 0.6910
O: 0.0325 0.9406 0.7594
O: 0.1864 0.2851 0.0660
O: 0.2079 0.4036 0.6064
O: 0.3332 0.9899 0.1039
O: 0.4169 0.7002 0.0243
O: 0.4882 0.2273 0.6537
O: 0.5118 0.7727 0.3463
O: 0.5831 0.2998 0.9757
O: 0.6668 0.0101 0.8961
O: 0.7921 0.5964 0.3936
O: 0.8136 0.7149 0.9340
O: 0.9675 0.0594 0.2406
F: 0.0117 0.3927 0.8494
F: 0.1532 0.9179 0.4169
F: 0.1775 0.4868 0.3518
F: 0.2978 0.7893 0.6131
F: 0.7022 0.2107 0.3869
F: 0.8225 0.5132 0.6482
F: 0.8468 0.0821 0.5831
F: 0.9883 0.6073 0.1506

Computed properties:
As for the total energy: -5.182 eV/atom. As for the space-group type: P-1 (2).

---

No. 14
The following is a PBE+U calculation of a geometry-optimized MnHOF2 structure, from the Alexandria database.

a b c (Å): 3.9470 3.9470 3.7270
angles (deg): 90.00 90.00 90.00
Sites, in units of the cell vectors:
Mn: 0.0000 0.0000 0.0000
H: 0.5000 0.5000 0.5000
O: 0.0000 0.0000 0.5000
F: 0.0000 0.5000 0.0000
F: 0.5000 0.0000 0.0000

Computed properties:
As for the total energy: -4.837 eV/atom. As for the space-group type: P4/mmm (123).

---

No. 15
The following is a PBE+U calculation of a geometry-optimized MnPH4O5F structure, from the Alexandria database.

a b c (Å): 5.5844 5.6098 8.5306
angles (deg): 84.32 75.44 72.17
Sites, in units of the cell vectors:
Mn: 0.0321 0.3139 0.1752
Mn: 0.9679 0.6861 0.8248
P: 0.3631 0.0765 0.8112
P: 0.6369 0.9235 0.1888
H: 0.1857 0.6129 0.4648
H: 0.2320 0.8440 0.5277
H: 0.2851 0.6843 0.2076
H: 0.4542 0.3995 0.2181
H: 0.5458 0.6005 0.7819
H: 0.7149 0.3157 0.7924
H: 0.7680 0.1560 0.4723
H: 0.8143 0.3871 0.5352
O: 0.1424 0.7165 0.5611
O: 0.1851 0.3084 0.9062
O: 0.2713 0.8435 0.8427
O: 0.2742 0.5149 0.2508
O: 0.3518 0.9738 0.1902
O: 0.6482 0.0262 0.8098
O: 0.7258 0.4851 0.7492
O: 0.7287 0.1565 0.1573
O: 0.8149 0.6916 0.0938
O: 0.8576 0.2835 0.4389
F: 0.3454 0.1603 0.6267
F: 0.6546 0.8397 0.3733

Computed properties:
As for the total energy: -6.074 eV/atom. As for the space-group type: P-1 (2).

---

No. 16
The following is a PBE+U calculation of a geometry-optimized Rb2MnP2H3O8F2 structure, from the Alexandria database.

a b c (Å): 7.5907 8.1267 8.7080
angles (deg): 90.00 115.14 90.00
Sites, in units of the cell vectors:
Rb: 0.1391 0.0000 0.4508
Rb: 0.1419 0.8098 0.9488
Rb: 0.8581 0.3098 0.0512
Rb: 0.8609 0.5000 0.5492
Mn: 0.4997 0.1531 0.2483
Mn: 0.5003 0.6531 0.7517
P: 0.3106 0.2953 0.8675
P: 0.3164 0.5087 0.3716
P: 0.6836 0.0087 0.6284
P: 0.6894 0.7953 0.1325
H: 0.0143 0.6506 0.2520
H: 0.2861 0.3744 0.5753
H: 0.2856 0.4341 0.0712
H: 0.7139 0.8744 0.4247
H: 0.7144 0.9341 0.9288
H: 0.9857 0.1506 0.7480
O: 0.1516 0.1805 0.7454
O: 0.1570 0.6251 0.2455
O: 0.2059 0.4221 0.9428
O: 0.2080 0.3851 0.4445
O: 0.4041 0.3885 0.7668
O: 0.4088 0.4184 0.2697
O: 0.4719 0.2060 0.0193
O: 0.4738 0.6015 0.5219
O: 0.5262 0.1015 0.4781
O: 0.5281 0.7060 0.9807
O: 0.5912 0.9184 0.7303
O: 0.5959 0.8885 0.2332
O: 0.7920 0.8851 0.5555
O: 0.7941 0.9221 0.0572
O: 0.8430 0.1251 0.7545
O: 0.8484 0.6805 0.2546
F: 0.2361 0.0915 0.1645
F: 0.2367 0.7158 0.6662
F: 0.7633 0.2158 0.3338
F: 0.7639 0.5915 0.8355

Computed properties:
As for the total energy: -6.111 eV/atom. As for the space-group type: P2_1 (4).

---

No. 17
The following is a PBE+U calculation of a geometry-optimized Rb2MnH2OF5 structure, from the Alexandria database.

a b c (Å): 6.3641 6.3641 8.5388
angles (deg): 90.00 90.00 80.06
Sites, in units of the cell vectors:
Rb: 0.0010 0.5850 0.7500
Rb: 0.4150 0.9990 0.7500
Rb: 0.5850 0.0010 0.2500
Rb: 0.9990 0.4150 0.2500
Mn: 0.5000 0.5000 0.0000
Mn: 0.5000 0.5000 0.5000
H: 0.1356 0.8644 0.1575
H: 0.1356 0.8644 0.3425
H: 0.8644 0.1356 0.6575
H: 0.8644 0.1356 0.8425
O: 0.0630 0.9370 0.2500
O: 0.9370 0.0630 0.7500
F: 0.2658 0.7342 0.5013
F: 0.2658 0.7342 0.9987
F: 0.3064 0.3064 0.0000
F: 0.3064 0.3064 0.5000
F: 0.4960 0.5040 0.7500
F: 0.5040 0.4960 0.2500
F: 0.6936 0.6936 0.0000
F: 0.6936 0.6936 0.5000
F: 0.7342 0.2658 0.0013
F: 0.7342 0.2658 0.4987

Computed properties:
As for the total energy: -5.030 eV/atom. As for the space-group type: Cmcm (63).

---

No. 18
The following is a PBE+U calculation of a geometry-optimized TiMnH12O6F6 structure, from the Alexandria database.

a b c (Å): 6.6293 6.6351 6.6451
angles (deg): 96.48 96.69 96.33
Sites, in units of the cell vectors:
Ti: 0.0000 0.0000 0.0000
Mn: 0.5000 0.5000 0.5000
H: 0.0968 0.4545 0.2900
H: 0.1801 0.6914 0.3112
H: 0.2903 0.0945 0.4555
H: 0.3081 0.6887 0.8200
H: 0.3113 0.1784 0.6919
H: 0.4547 0.2888 0.0960
H: 0.5453 0.7112 0.9040
H: 0.6887 0.8216 0.3081
H: 0.6919 0.3113 0.1800
H: 0.7097 0.9055 0.5445
H: 0.8199 0.3086 0.6888
H: 0.9032 0.5455 0.7100
O: 0.1996 0.5625 0.3666
O: 0.3651 0.1989 0.5629
O: 0.4378 0.6350 0.8002
O: 0.5622 0.3650 0.1998
O: 0.6349 0.8011 0.4371
O: 0.8004 0.4375 0.6334
F: 0.0629 0.7574 0.8537
F: 0.1466 0.9349 0.2418
F: 0.2424 0.1449 0.9362
F: 0.7576 0.8551 0.0638
F: 0.8534 0.0651 0.7582
F: 0.9371 0.2426 0.1463

Computed properties:
As for the total energy: -5.429 eV/atom. As for the space-group type: P-1 (2).